(1)
DFT (PBE) results for SrPa4S8 after structural relaxation.

Results
Crystal system: cubic
SG: No. 216
Formation energy (no corrections) (meV per atom): -1579
Total magnetic moment (μB/f.u.): 6.02
Distance to the lowest polymorph of the same formula (eV per atom): 0.028

a b c (Å): 8.2372 8.2372 8.2372
angles (deg): 60.00 60.00 60.00
With the nearest neighbours (Å) after each atom.
Positions (direct):
Sr 0.7500 0.7500 0.7500  4 S 2.83
Pa 0.8838 0.3721 0.3721  6 S 2.73-2.78
Pa 0.3721 0.8838 0.3721  6 S 2.73-2.78
Pa 0.3721 0.3721 0.8838  6 S 2.73-2.78
Pa 0.3721 0.3721 0.3721  6 S 2.73-2.78
S 0.5847 0.1384 0.1384  3 Pa 2.73
S 0.1384 0.5847 0.1384  3 Pa 2.73
S 0.1384 0.1384 0.5847  3 Pa 2.73
S 0.1384 0.1384 0.1384  3 Pa 2.73
S 0.1715 0.6095 0.6095  3 Pa 2.78, 1 Sr 2.83
S 0.6095 0.1715 0.6095  3 Pa 2.78, 1 Sr 2.83
S 0.6095 0.6095 0.1715  3 Pa 2.78, 1 Sr 2.83
S 0.6095 0.6095 0.6095  3 Pa 2.78, 1 Sr 2.83

=====

(2)
DFT (PBE) results for RbLiAs2 after structural relaxation.

Results
ΔH_f (0 K) (eV/atom): -0.28
Crystal system: tetragonal
SG: No. 122
Total magnetic moment (μB/f.u.): 0.00
Distance to the lowest polymorph of the same formula (eV per atom): 0.000

a b c (Å): 5.1464 5.1464 9.7387
angles (deg): 74.68 74.68 90.00
With the nearest neighbours (Å) after each atom.
Positions (direct):
As 0.3700 0.1250 0.2500  2 As 2.57, 2 Li 2.60
As 0.3800 0.6250 0.2500  2 As 2.57, 2 Li 2.60
As 0.3750 0.6300 0.7500  2 As 2.57, 2 Li 2.60
As 0.8750 0.6200 0.7500  2 As 2.57, 2 Li 2.60
Rb 0.0000 0.0000 0.0000  4 Li 3.64, 8 As 3.64-3.68
Rb 0.7500 0.2500 0.5000  4 Li 3.64, 8 As 3.64-3.68
Li 0.5000 0.5000 0.0000  4 As 2.60
Li 0.2500 0.7500 0.5000  4 As 2.60

=====

(3)
DFT (PBE) results for Be4C after structural relaxation.

Results
ΔH_f (0 K) (eV/atom): 0.48
Crystal system: cubic
SG: No. 221
Total magnetic moment (μB/f.u.): 0.00
Distance to the lowest polymorph of the same formula (eV per atom): 0.000

a b c (Å): 3.5114 3.5114 3.5114
angles (deg): 90.00 90.00 90.00
With the nearest neighbours (Å) after each atom.
Positions (direct):
Be 0.0000 0.0000 0.0000  12 Be 2.48
Be 0.5000 0.0000 0.5000  2 C 1.76
Be 0.0000 0.5000 0.5000  2 C 1.76
Be 0.5000 0.5000 0.0000  2 C 1.76
C 0.5000 0.5000 0.5000  6 Be 1.76

=====

(4)
DFT (PBE) results for Zn3FeNi7 after structural relaxation.

Results
ΔH_f (0 K) (eV/atom): 0.17
Crystal system: monoclinic
SG: No. 12
Total magnetic moment (μB/f.u.): 4.67

a b c (Å): 4.5144 6.2462 6.2462
angles (deg): 84.17 115.98 115.98
With the nearest neighbours (Å) after each atom.
Positions (direct):
Zn 0.0000 0.7865 0.2135  7 Ni 2.40-2.50
Zn 0.5000 0.0000 0.0000  6 Ni 2.37-2.44
Zn 0.0000 0.2135 0.7865  7 Ni 2.40-2.50
Fe 0.5000 0.5000 0.5000  8 Ni 2.26-2.48
Ni 0.3774 0.2159 0.2159  1 Fe 2.35, 3 Zn 2.37-2.47, 5 Ni 2.43-2.62
Ni 0.3289 0.0754 0.5820  5 Ni 2.42-2.68, 3 Zn 2.44-2.50, 1 Fe 2.48
Ni 0.6711 0.4180 0.9246  5 Ni 2.42-2.68, 3 Zn 2.44-2.50, 1 Fe 2.48
Ni 0.3289 0.5820 0.0754  5 Ni 2.42-2.68, 3 Zn 2.44-2.50, 1 Fe 2.48
Ni 0.0000 0.5000 0.5000  2 Fe 2.26, 2 Zn 2.40, 2 Ni 2.47
Ni 0.6711 0.9246 0.4180  5 Ni 2.42-2.68, 3 Zn 2.44-2.50, 1 Fe 2.48
Ni 0.6226 0.7841 0.7841  1 Fe 2.35, 3 Zn 2.37-2.47, 5 Ni 2.43-2.62

=====

(5)
DFT (PBE) results for SmAl6Pt3 after structural relaxation.

Results
ΔH_f (0 K) (eV/atom): -0.90
Crystal system: monoclinic
SG: No. 11
Total magnetic moment (μB/f.u.): 0.00

a b c (Å): 4.2968 8.6162 9.6658
angles (deg): 86.68 90.00 90.00
With the nearest neighbours (Å) after each atom.
Positions (direct):
Sm 0.7500 0.0508 0.6996  8 Al 3.08-3.41, 4 Pt 3.28-3.42
Sm 0.2500 0.9492 0.3004  8 Al 3.08-3.41, 4 Pt 3.28-3.42
Al 0.7500 0.4279 0.5752  4 Pt 2.56-2.69, 5 Al 2.83-2.85
Al 0.2500 0.5721 0.4248  4 Pt 2.56-2.69, 5 Al 2.83-2.85
Al 0.7500 0.8864 0.0296  3 Pt 2.62-2.63, 1 Al 2.71
Al 0.2500 0.1136 0.9704  3 Pt 2.62-2.63, 1 Al 2.71
Al 0.7500 0.4678 0.0892  4 Pt 2.50-2.59, 5 Al 2.69-2.79
Al 0.2500 0.5322 0.9108  4 Pt 2.50-2.59, 5 Al 2.69-2.79
Al 0.7500 0.6992 0.2649  3 Pt 2.46-2.52, 2 Al 2.69-2.71
Al 0.2500 0.3008 0.7351  3 Pt 2.46-2.52, 2 Al 2.69-2.71
Al 0.7500 0.1952 0.3768  3 Pt 2.50-2.55
Al 0.2500 0.8048 0.6232  3 Pt 2.50-2.55
Al 0.7500 0.6843 0.7856  4 Pt 2.59-2.69, 4 Al 2.76-2.82
Al 0.2500 0.3157 0.2144  4 Pt 2.59-2.69, 4 Al 2.76-2.82
Pt 0.7500 0.3856 0.8453  7 Al 2.50-2.62
Pt 0.2500 0.6144 0.1547  7 Al 2.50-2.62
Pt 0.7500 0.7222 0.5176  7 Al 2.46-2.69
Pt 0.2500 0.2778 0.4824  7 Al 2.46-2.69
Pt 0.7500 0.1714 0.1147  7 Al 2.55-2.69
Pt 0.2500 0.8286 0.8853  7 Al 2.55-2.69

=====

(6)
DFT (PBE) results for Y2TmPt9 after structural relaxation.

Results
ΔH_f (0 K) (eV/atom): -1.03
Crystal system: tetragonal
SG: No. 123
Total magnetic moment (μB/f.u.): 0.00

a b c (Å): 4.1150 4.1150 12.3441
angles (deg): 90.00 90.00 90.00
With the nearest neighbours (Å) after each atom.
Positions (direct):
Y 0.0000 0.0000 0.3324  12 Pt 2.91-2.92
Y 0.0000 0.0000 0.6676  12 Pt 2.91-2.92
Tm 0.0000 0.0000 0.0000  12 Pt 2.89-2.91
Pt 0.5000 0.5000 0.0000  8 Pt 2.89, 4 Tm 2.91
Pt 0.5000 0.5000 0.3322  4 Y 2.91, 8 Pt 2.92
Pt 0.5000 0.5000 0.6678  4 Y 2.91, 8 Pt 2.92
Pt 0.5000 0.0000 0.1642  2 Tm 2.89, 8 Pt 2.89-2.92, 2 Y 2.92
Pt 0.5000 0.0000 0.5000  8 Pt 2.91-2.92, 4 Y 2.92
Pt 0.5000 0.0000 0.8358  2 Tm 2.89, 8 Pt 2.89-2.92, 2 Y 2.92
Pt 0.0000 0.5000 0.1642  2 Tm 2.89, 8 Pt 2.89-2.92, 2 Y 2.92
Pt 0.0000 0.5000 0.5000  8 Pt 2.91-2.92, 4 Y 2.92
Pt 0.0000 0.5000 0.8358  2 Tm 2.89, 8 Pt 2.89-2.92, 2 Y 2.92

=====

(7)
DFT (PBE) results for Li2NdDy2Sn2 after structural relaxation.

Results
ΔH_f (0 K) (eV/atom): -0.47
Crystal system: trigonal
SG: No. 166
Total magnetic moment (μB/f.u.): 0.00

a b c (Å): 4.8151 4.8151 9.3900
angles (deg): 75.14 75.14 60.00
With the nearest neighbours (Å) after each atom.
Positions (direct):
Li 0.5912 0.5912 0.2264  3 Sn 2.78
Li 0.4088 0.4088 0.7736  3 Sn 2.78
Nd 0.0000 0.0000 0.0000  6 Sn 3.41, 6 Li 3.44, 2 Dy 3.50
Dy 0.1301 0.1301 0.6096  3 Li 3.15, 4 Sn 3.17-3.50, 3 Dy 3.40, 1 Nd 3.50
Dy 0.8699 0.8699 0.3904  3 Li 3.15, 4 Sn 3.17-3.50, 3 Dy 3.40, 1 Nd 3.50
Sn 0.7398 0.7398 0.7805  3 Li 2.78
Sn 0.2602 0.2602 0.2195  3 Li 2.78